No. 1
# Lu2TcPb

A relaxed Lu2TcPb crystal (PBE, OQMD via LeMat-Bulk).

abc: 4.9518 4.9518 4.9518
angles: 60.00 60.00 60.00
With the nearest neighbours (Å) after each atom.
Element x y z (fractional)
Lu  0.0000  0.0000  0.0000  4 Tc 3.03, 4 Lu 3.03
Lu  0.2500  0.2500  0.2500  4 Pb 3.03, 4 Lu 3.03
Tc  0.7500  0.7500  0.7500  4 Lu 3.03, 4 Pb 3.03
Pb  0.5000  0.5000  0.5000  4 Tc 3.03, 4 Lu 3.03

As for the space group: F-43m (216).

=====

No. 2
# LuTcPb2

A relaxed LuTcPb2 crystal (PBE, OQMD via LeMat-Bulk).

abc: 5.0905 5.0905 5.0905
angles: 60.00 60.00 60.00
With the nearest neighbours (Å) after each atom.
Element x y z (fractional)
Lu  0.0000  0.0000  0.0000  4 Tc 3.12, 4 Pb 3.12
Tc  0.7500  0.7500  0.7500  4 Pb 3.12, 4 Lu 3.12
Pb  0.2500  0.2500  0.2500  4 Pb 3.12, 4 Lu 3.12
Pb  0.5000  0.5000  0.5000  4 Tc 3.12, 4 Pb 3.12

As for the space group: F-43m (216).

=====

No. 3
# LuTc2Pb

A relaxed LuTc2Pb crystal (PBE, OQMD via LeMat-Bulk).

abc: 4.7510 4.7510 4.7510
angles: 60.00 60.00 60.00
With the nearest neighbours (Å) after each atom.
Element x y z (fractional)
Lu  0.0000  0.0000  0.0000  4 Pb 2.91, 4 Tc 2.91
Tc  0.2500  0.2500  0.2500  4 Tc 2.91, 4 Lu 2.91
Tc  0.5000  0.5000  0.5000  4 Pb 2.91, 4 Tc 2.91
Pb  0.7500  0.7500  0.7500  4 Lu 2.91, 4 Tc 2.91

As for the space group: F-43m (216).

=====

No. 4
# LuTcPb2

A relaxed LuTcPb2 crystal (PBE, OQMD via LeMat-Bulk).

abc: 5.0906 5.0906 5.0906
angles: 60.00 60.00 60.00
With the nearest neighbours (Å) after each atom.
Element x y z (fractional)
Lu  0.0000  0.0000  0.0000  4 Tc 3.12, 4 Pb 3.12
Tc  0.7500  0.7500  0.7500  4 Lu 3.12, 4 Pb 3.12
Pb  0.2500  0.2500  0.2500  4 Pb 3.12, 4 Lu 3.12
Pb  0.5000  0.5000  0.5000  4 Tc 3.12, 4 Pb 3.12

As for the space group: F-43m (216).

=====

No. 5
# LuTePb

A relaxed LuTePb crystal (PBE, OQMD via LeMat-Bulk).

abc: 5.1618 5.1618 5.1618
angles: 60.00 60.00 60.00
With the nearest neighbours (Å) after each atom.
Element x y z (fractional)
Lu  0.0000  0.0000  0.0000  4 Te 3.16
Te  0.2500  0.2500  0.2500  4 Pb 3.16, 4 Lu 3.16
Pb  0.5000  0.5000  0.5000  4 Te 3.16

As for the space group: F-43m (216).

=====

No. 6
# LuTePb2

A relaxed LuTePb2 crystal (PBE, OQMD via LeMat-Bulk).

abc: 5.4777 5.4777 5.4777
angles: 60.00 60.00 60.00
With the nearest neighbours (Å) after each atom.
Element x y z (fractional)
Lu  0.0000  0.0000  0.0000  4 Te 3.35, 4 Pb 3.35
Te  0.7500  0.7500  0.7500  4 Lu 3.35, 4 Pb 3.35
Pb  0.2500  0.2500  0.2500  4 Pb 3.35, 4 Lu 3.35
Pb  0.5000  0.5000  0.5000  4 Pb 3.35, 4 Te 3.35

As for the space group: F-43m (216).

=====

No. 7
# LuTlTe3Pb

A relaxed LuTlTe3Pb crystal (PBE, OQMD via LeMat-Bulk).

abc: 8.0848 8.0848 12.4701
angles: 90.00 90.00 148.81
With the nearest neighbours (Å) after each atom.
Element x y z (fractional)
Lu  0.0000  0.0000  0.0000  6 Te 3.02-3.15
Lu  0.0000  0.0000  0.5000  6 Te 3.02-3.15
Tl  0.2993  0.7007  0.7500  4 Te 3.30-3.46, 2 Pb 3.65
Tl  0.7007  0.2993  0.2500  4 Te 3.30-3.46, 2 Pb 3.65
Te  0.0282  0.9718  0.2500  2 Pb 3.07, 2 Lu 3.15
Te  0.3651  0.6349  0.0012  2 Lu 3.02, 1 Pb 3.13, 1 Tl 3.30
Te  0.3651  0.6349  0.4988  2 Lu 3.02, 1 Pb 3.13, 1 Tl 3.30
Te  0.6349  0.3651  0.5012  2 Lu 3.02, 1 Pb 3.13, 1 Tl 3.30
Te  0.6349  0.3651  0.9988  2 Lu 3.02, 1 Pb 3.13, 1 Tl 3.30
Te  0.9718  0.0282  0.7500  2 Pb 3.07, 2 Lu 3.15
Pb  0.3889  0.6111  0.2500  4 Te 3.07-3.13
Pb  0.6111  0.3889  0.7500  4 Te 3.07-3.13

As for the space group: Cmcm (63).

=====

No. 8
# YLuTe3Pb

A relaxed YLuTe3Pb crystal (PBE, OQMD via LeMat-Bulk).

abc: 7.9270 7.9270 11.8253
angles: 90.00 90.00 148.31
With the nearest neighbours (Å) after each atom.
Element x y z (fractional)
Y  0.0557  0.9443  0.7500  4 Te 2.98
Y  0.9443  0.0557  0.2500  4 Te 2.98
Lu  0.5000  0.5000  0.0000  6 Te 3.06-3.19
Lu  0.5000  0.5000  0.5000  6 Te 3.06-3.19
Te  0.1403  0.8597  0.5232  1 Y 2.98, 2 Lu 3.06
Te  0.1403  0.8597  0.9768  1 Y 2.98, 2 Lu 3.06
Te  0.4214  0.5786  0.7500  2 Y 2.98, 2 Lu 3.19
Te  0.5786  0.4214  0.2500  2 Y 2.98, 2 Lu 3.19
Te  0.8597  0.1403  0.0232  1 Y 2.98, 2 Lu 3.06
Te  0.8597  0.1403  0.4768  1 Y 2.98, 2 Lu 3.06
Pb  0.2757  0.7243  0.2500  2 Y 3.36, 6 Te 3.68-3.70
Pb  0.7243  0.2757  0.7500  2 Y 3.36, 6 Te 3.68-3.70

As for the space group: Cmcm (63). The polymorph energy (0 for the lowest one) comes out at 30.8 meV per atom.

=====

No. 9
# YLuTe3Pb

A relaxed YLuTe3Pb crystal (PBE, OQMD via LeMat-Bulk).

abc: 7.9323 7.9323 11.8317
angles: 90.00 90.00 148.07
With the nearest neighbours (Å) after each atom.
Element x y z (fractional)
Y  0.0000  0.0000  0.0000  6 Te 3.11-3.25
Y  0.0000  0.0000  0.5000  6 Te 3.11-3.25
Lu  0.4606  0.5394  0.7500  4 Te 2.93-2.94
Lu  0.5394  0.4606  0.2500  4 Te 2.93-2.94
Te  0.0886  0.9114  0.7500  2 Lu 2.93, 2 Y 3.25
Te  0.3581  0.6419  0.5394  1 Lu 2.94, 2 Y 3.11
Te  0.3581  0.6419  0.9606  1 Lu 2.94, 2 Y 3.11
Te  0.6419  0.3581  0.0394  1 Lu 2.94, 2 Y 3.11
Te  0.6419  0.3581  0.4606  1 Lu 2.94, 2 Y 3.11
Te  0.9114  0.0886  0.2500  2 Lu 2.93, 2 Y 3.25
Pb  0.2073  0.7927  0.2500  2 Lu 3.36, 4 Te 3.46
Pb  0.7927  0.2073  0.7500  2 Lu 3.36, 4 Te 3.46

As for the space group: Cmcm (63). The polymorph energy (0 for the lowest one) comes out at 0.0 meV per atom.

=====

No. 10
# LuZrTe3Pb

A relaxed LuZrTe3Pb crystal (PBE, OQMD via LeMat-Bulk).

abc: 8.0281 8.0281 11.6210
angles: 90.00 90.00 150.47
With the nearest neighbours (Å) after each atom.
Element x y z (fractional)
Lu  0.0000  0.0000  0.0000  6 Te 3.01-3.13
Lu  0.0000  0.0000  0.5000  6 Te 3.01-3.13
Zr  0.4435  0.5565  0.7500  4 Te 2.89, 2 Pb 3.19
Zr  0.5565  0.4435  0.2500  4 Te 2.89, 2 Pb 3.19
Te  0.0747  0.9253  0.7500  2 Zr 2.89, 2 Lu 3.13
Te  0.3593  0.6407  0.5282  1 Zr 2.89, 2 Lu 3.01
Te  0.3593  0.6407  0.9718  1 Zr 2.89, 2 Lu 3.01
Te  0.6407  0.3593  0.0282  1 Zr 2.89, 2 Lu 3.01
Te  0.6407  0.3593  0.4718  1 Zr 2.89, 2 Lu 3.01
Te  0.9253  0.0747  0.2500  2 Zr 2.89, 2 Lu 3.13
Pb  0.2141  0.7859  0.2500  2 Zr 3.19, 4 Te 3.48
Pb  0.7859  0.2141  0.7500  2 Zr 3.19, 4 Te 3.48

As for the space group: Cmcm (63). The polymorph energy (0 for the lowest one) comes out at 0.0 meV per atom.

=====

No. 11
# LuZrTe3Pb

A relaxed LuZrTe3Pb crystal (PBE, OQMD via LeMat-Bulk).

abc: 8.0700 8.0700 11.4916
angles: 90.00 90.00 151.47
With the nearest neighbours (Å) after each atom.
Element x y z (fractional)
Lu  0.0972  0.9028  0.7500  4 Te 2.92-2.96
Lu  0.9028  0.0972  0.2500  4 Te 2.92-2.96
Zr  0.5000  0.5000  0.0000  6 Te 2.95
Zr  0.5000  0.5000  0.5000  6 Te 2.95
Te  0.1391  0.8609  0.5024  1 Lu 2.92, 2 Zr 2.95
Te  0.1391  0.8609  0.9976  1 Lu 2.92, 2 Zr 2.95
Te  0.4568  0.5432  0.7500  2 Zr 2.95, 2 Lu 2.96
Te  0.5432  0.4568  0.2500  2 Zr 2.95, 2 Lu 2.96
Te  0.8609  0.1391  0.0024  1 Lu 2.92, 2 Zr 2.95
Te  0.8609  0.1391  0.4976  1 Lu 2.92, 2 Zr 2.95
Pb  0.2364  0.7636  0.2500  4 Te 3.28-3.62, 2 Lu 3.28
Pb  0.7636  0.2364  0.7500  4 Te 3.28-3.62, 2 Lu 3.28

As for the space group: Cmcm (63). The polymorph energy (0 for the lowest one) comes out at 37.3 meV per atom.

=====

No. 12
# LuThPb

A relaxed LuThPb crystal (PBE, OQMD via LeMat-Bulk).

abc: 5.2179 5.2179 5.2179
angles: 60.00 60.00 60.00
With the nearest neighbours (Å) after each atom.
Element x y z (fractional)
Lu  0.0000  0.0000  0.0000  4 Pb 3.20
Th  0.5000  0.5000  0.5000  4 Pb 3.20
Pb  0.2500  0.2500  0.2500  4 Th 3.20, 4 Lu 3.20

As for the space group: F-43m (216). The polymorph energy (0 for the lowest one) comes out at 0.0 meV per atom.

=====

No. 13
# LuTlPb2

A relaxed LuTlPb2 crystal (PBE, OQMD via LeMat-Bulk).

abc: 5.4588 5.4588 5.4588
angles: 60.00 60.00 60.00
With the nearest neighbours (Å) after each atom.
Element x y z (fractional)
Lu  0.0000  0.0000  0.0000  4 Tl 3.34, 4 Pb 3.34
Tl  0.7500  0.7500  0.7500  4 Lu 3.34, 4 Pb 3.34
Pb  0.2500  0.2500  0.2500  4 Pb 3.34, 4 Lu 3.34
Pb  0.5000  0.5000  0.5000  4 Tl 3.34, 4 Pb 3.34

As for the space group: F-43m (216).

=====

No. 14
# TmLuPb

A relaxed TmLuPb crystal (PBE, OQMD via LeMat-Bulk).

abc: 5.0806 5.0806 5.0806
angles: 60.00 60.00 60.00
With the nearest neighbours (Å) after each atom.
Element x y z (fractional)
Tm  0.0000  0.0000  0.0000  4 Pb 3.11
Lu  0.5000  0.5000  0.5000  4 Pb 3.11
Pb  0.7500  0.7500  0.7500  4 Tm 3.11, 4 Lu 3.11

As for the space group: F-43m (216). The polymorph energy (0 for the lowest one) comes out at 0.0 meV per atom.

=====

No. 15
# TmLuPb4

A relaxed TmLuPb4 crystal (PBE, OQMD via LeMat-Bulk).

abc: 3.2865 10.0680 10.0680
angles: 36.35 90.00 90.00
With the nearest neighbours (Å) after each atom.
Element x y z (fractional)
Tm  0.0000  0.0000  0.0000  3 Pb 3.12-3.14, 2 Tm 3.29, 1 Lu 3.40
Lu  0.0000  0.8225  0.8225  3 Pb 3.14-3.16, 2 Lu 3.29, 1 Tm 3.40
Pb  0.0000  0.1633  0.1633  5 Pb 3.10-3.29, 1 Tm 3.12
Pb  0.0000  0.3254  0.3254  4 Pb 3.10-3.29, 2 Lu 3.14
Pb  0.0000  0.4935  0.4935  4 Pb 3.14-3.29, 2 Tm 3.14
Pb  0.0000  0.6575  0.6575  5 Pb 3.14-3.29, 1 Lu 3.16

As for the space group: Amm2 (38).

=====

No. 16
# LuUPb

A relaxed LuUPb crystal (PBE, OQMD via LeMat-Bulk).

abc: 5.1738 5.1738 5.1738
angles: 60.00 60.00 60.00
With the nearest neighbours (Å) after each atom.
Element x y z (fractional)
Lu  0.0000  0.0000  0.0000  4 Pb 3.17
U  0.5000  0.5000  0.5000  4 Pb 3.17
Pb  0.2500  0.2500  0.2500  4 U 3.17, 4 Lu 3.17

As for the space group: F-43m (216). The polymorph energy (0 for the lowest one) comes out at 0.0 meV per atom.

=====

No. 17
# LuPbW

A relaxed LuPbW crystal (PBE, OQMD via LeMat-Bulk).

abc: 4.8876 4.8876 4.8876
angles: 60.00 60.00 60.00
With the nearest neighbours (Å) after each atom.
Element x y z (fractional)
Lu  0.0000  0.0000  0.0000  4 Pb 2.99, 4 W 2.99
Pb  0.7500  0.7500  0.7500  4 Lu 2.99
W  0.2500  0.2500  0.2500  4 Lu 2.99

As for the space group: F-43m (216).

=====

No. 18
# LuPbW2

A relaxed LuPbW2 crystal (PBE, OQMD via LeMat-Bulk).

abc: 4.8076 4.8076 4.8076
angles: 60.00 60.00 60.00
With the nearest neighbours (Å) after each atom.
Element x y z (fractional)
Lu  0.0000  0.0000  0.0000  4 Pb 2.94, 4 W 2.94
Pb  0.7500  0.7500  0.7500  4 W 2.94, 4 Lu 2.94
W  0.2500  0.2500  0.2500  4 W 2.94, 4 Lu 2.94
W  0.5000  0.5000  0.5000  4 W 2.94, 4 Pb 2.94

As for the space group: F-43m (216).

=====

No. 19
# LuPb2W

A relaxed LuPb2W crystal (PBE, OQMD via LeMat-Bulk).

abc: 5.1429 5.1429 5.1429
angles: 60.00 60.00 60.00
With the nearest neighbours (Å) after each atom.
Element x y z (fractional)
Lu  0.0000  0.0000  0.0000  4 W 3.15, 4 Pb 3.15
Pb  0.2500  0.2500  0.2500  4 Pb 3.15, 4 Lu 3.15
Pb  0.5000  0.5000  0.5000  4 Pb 3.15, 4 W 3.15
W  0.7500  0.7500  0.7500  4 Pb 3.15, 4 Lu 3.15

As for the space group: F-43m (216).

=====

No. 20
# YLu2Pb

A relaxed YLu2Pb crystal (PBE, OQMD via LeMat-Bulk).

abc: 5.4086 5.4086 5.4086
angles: 60.00 60.00 60.00
With the nearest neighbours (Å) after each atom.
Element x y z (fractional)
Y  0.0000  0.0000  0.0000  4 Pb 3.31, 4 Lu 3.31
Lu  0.2500  0.2500  0.2500  4 Lu 3.31, 4 Y 3.31
Lu  0.5000  0.5000  0.5000  4 Pb 3.31, 4 Lu 3.31
Pb  0.7500  0.7500  0.7500  4 Lu 3.31, 4 Y 3.31

As for the space group: F-43m (216).

=====

DFT total energy (eV per cell)
-22.84, -20.77, -27.40, -20.77, -11.84, -15.99, -47.73, -58.32, -58.69, -61.32, -60.87, -15.35, -14.44, -13.00, -22.31, -17.78, -17.22, -31.77, -21.86, -19.51
V (Å³ per cell)
85.9, 93.3, 75.8, 93.3, 97.3, 116.2, 422.2, 390.3, 393.7, 369.1, 357.5, 100.5, 115.0, 92.7, 197.5, 97.9, 82.6, 78.6, 96.2, 111.9